## LaCdSi (PBE-GGA)

Data for crystalline LaCdSi at its relaxed geometry.

**ρ**: 5.8 g/cm3
**Uncorrected formation energy**: -344 meV/atom
**Calculated volume**: 79.96 Å³ per cell
**Symmetry**: F-43m (216)

a b c (Å): 4.8358 4.8358 4.8358
angles (deg): 60.00 60.00 60.00
Fractional coordinates of all 3 atoms:
Cd 0.0000 0.0000 0.0000
Si 0.2500 0.2500 0.2500
La 0.5000 0.5000 0.5000